Entry 1:
Y2ZnNi | the Alexandria database | PBE-GGA | relaxed; formation enthalpy at 0 K = -0.366 eV per atom
1.0
-2.2215 2.6398 0.4579
-2.6792 -2.1908 -0.3681
0.0182 -1.1799 6.8909
Y Ni Zn
2 1 1
direct
0.0000 0.0000 0.9852 Y
0.0000 0.0000 0.5148 Y
0.5000 0.5000 0.7500 Ni
0.5000 0.5000 0.2500 Zn

=====

Entry 2:
In2BiI5 | the Alexandria database | PBE-GGA | relaxed; energy above the most stable polymorph in this dataset = 0.000 eV/atom; formation energy from raw total energies = -3.4 eV/f.u.
1.0
6.2297 -0.0042 -2.6509
-3.8620 7.2440 -0.4188
0.1308 0.8554 8.8364
In Bi I
2 1 5
direct
0.4867 0.6496 0.2660 In
0.6304 0.4062 0.7894 In
0.0163 0.0278 0.0279 Bi
0.9511 0.6724 0.1775 I
0.3653 0.2370 0.3758 I
0.8112 0.8189 0.6798 I
0.1596 0.3832 0.8783 I
0.5793 0.0280 0.0284 I

=====

Entry 3:
SrCoH2 | the Alexandria database | PBE-GGA | relaxed; energy above the most stable polymorph in this dataset = 0.000 eV/atom
1.0
4.5019 0.0000 0.0000
0.0000 4.5019 0.0000
2.2510 2.2510 4.9042
Sr Co H
2 2 4
direct
0.0000 0.0000 0.0000 Sr
0.7500 0.2500 0.5000 Sr
0.5000 0.5000 0.0000 Co
0.2500 0.7500 0.5000 Co
0.3269 0.1250 0.2500 H
0.4231 0.6250 0.2500 H
0.3750 0.6731 0.7500 H
0.8750 0.5769 0.7500 H

=====

Entry 4:
ZrBe3 | the Alexandria database | PBE-GGA | relaxed; formation enthalpy at 0 K = 0.527 eV per atom; energy above the most stable polymorph in this dataset = 0.707 eV/atom
1.0
-5.4505 -6.2125 -1.9348
-4.0103 -6.1969 -4.1907
-3.1648 -7.5982 -2.0730
Be Zr
3 1
direct
0.7640 0.7640 0.7640 Be
0.5000 0.5000 0.5000 Be
0.2360 0.2360 0.2360 Be
0.0000 0.0000 0.0000 Zr

=====

Entry 5:
GaFe2CuH | the Alexandria database | PBE-GGA | relaxed; energy above the most stable polymorph in this dataset = 0.000 eV/atom
1.0
-2.2527 2.0131 -2.0192
-2.7543 -0.8710 2.2045
0.7916 3.1107 2.2180
H Cu Ga Fe
1 1 1 2
direct
0.0000 0.0000 0.0000 H
0.0000 0.0000 0.5000 Cu
0.5000 0.5000 0.5000 Ga
0.0000 0.5000 0.0000 Fe
0.5000 0.0000 0.0000 Fe

=====

Entry 6:
RbSeI3 | the Alexandria database | PBE-GGA | relaxed; formation energy from raw total energies = -2.8 eV/f.u.
1.0
-2.9498 -6.2826 -2.5314
2.4236 -8.5739 7.3739
-5.4253 -6.6754 6.6394
Rb Se I
2 2 6
direct
0.9122 0.6001 0.1550 Rb
0.1910 0.9260 0.3084 Rb
0.1555 0.3310 0.5621 Se
0.9479 0.1949 0.9014 Se
0.3676 0.6657 0.1761 I
0.1736 0.5113 0.8395 I
0.5201 0.1744 0.6003 I
0.5830 0.3516 0.8632 I
0.7355 0.8601 0.2875 I
0.9297 0.0147 0.6240 I

=====

Entry 7:
TaBC2 | the Alexandria database | PBE-GGA | relaxed; formation enthalpy at 0 K = 0.287 eV per atom
1.0
5.0812 0.0000 0.0000
0.0000 5.0812 0.0000
2.5406 2.5406 2.7090
C B Ta
4 2 2
direct
0.5339 0.1250 0.2500 C
0.2161 0.6250 0.2500 C
0.3750 0.4661 0.7500 C
0.8750 0.7839 0.7500 C
0.5000 0.5000 0.0000 B
0.2500 0.7500 0.5000 B
0.0000 0.0000 0.0000 Ta
0.7500 0.2500 0.5000 Ta

=====

Entry 8:
PRuO2 | the Alexandria database | PBE-GGA | relaxed; formation energy from raw total energies = -1.5 eV/f.u.
1.0
5.8314 -2.4919 1.7132
5.4316 -3.5771 -0.9232
6.4767 -0.9134 -0.6063
Ru O P
1 2 1
direct
0.5000 0.5000 0.5000 Ru
0.8989 0.8989 0.8989 O
0.1011 0.1011 0.1011 O
0.0000 0.0000 0.0000 P

=====

Entry 9:
YFe2Si | the Alexandria database | PBE-GGA | relaxed; formation energy from raw total energies = -0.5 eV/f.u.
1.0
-2.3889 1.9021 -0.2608
-0.0154 -0.4353 -3.0337
-4.1572 -5.1177 0.7555
Fe Si Y
2 1 1
direct
0.0000 0.0000 0.0615 Fe
0.5000 0.5000 0.2570 Fe
0.0000 0.0000 0.4295 Si
0.5000 0.5000 0.7519 Y

=====

Entry 10:
RbBaBrF2 | the Alexandria database | PBE-GGA | relaxed; formation energy from raw total energies = -14.2 eV/f.u.
1.0
5.0665 0.0000 0.0000
0.0000 5.0665 0.0000
0.0000 0.0000 6.6168
Br Ba Rb F
1 1 1 2
direct
0.0000 0.0000 0.5000 Br
0.0000 0.0000 0.0000 Ba
0.5000 0.5000 0.5000 Rb
0.0000 0.5000 0.0000 F
0.5000 0.0000 0.0000 F

=====

Entry 11:
PmZn12Co4 | the Alexandria database | PBE-GGA | relaxed; formation enthalpy at 0 K = 0.279 eV per atom
1.0
-0.1286 7.3008 -0.1718
-4.0817 -2.6359 -5.4534
-2.6693 -2.3324 6.3862
Pm Zn Co
1 12 4
direct
0.0000 0.0000 0.0000 Pm
0.8277 0.3459 0.1735 Zn
0.3459 0.5182 0.1723 Zn
0.8265 0.1723 0.6541 Zn
0.3459 0.1735 0.8277 Zn
0.1735 0.8277 0.3459 Zn
0.6541 0.4818 0.8277 Zn
0.5182 0.1724 0.3459 Zn
0.4818 0.8276 0.6541 Zn
0.6541 0.8265 0.1723 Zn
0.8276 0.6541 0.4818 Zn
0.1724 0.3459 0.5182 Zn
0.1724 0.6541 0.8265 Zn
0.0000 0.5000 0.0000 Co
0.5000 0.0000 0.0000 Co
0.5000 0.5000 0.5000 Co
0.0000 0.0000 0.5000 Co

=====

Entry 12:
Mg2HgGe2Pd5 | the Alexandria database | PBE-GGA | relaxed; formation enthalpy at 0 K = -0.447 eV per atom
1.0
3.6638 0.0000 0.0000
0.0000 9.7175 0.0000
0.0000 0.0000 9.7175
Mg Hg Ge Pd
4 2 4 10
direct
0.0000 0.6713 0.1713 Mg
0.0000 0.3287 0.8287 Mg
0.0000 0.1713 0.3287 Mg
0.0000 0.8287 0.6713 Mg
0.0000 0.0000 0.0000 Hg
0.0000 0.5000 0.5000 Hg
0.0000 0.1281 0.6281 Ge
0.0000 0.8719 0.3719 Ge
0.0000 0.6281 0.8719 Ge
0.0000 0.3719 0.1281 Ge
0.5000 0.2053 0.0772 Pd
0.5000 0.7947 0.9228 Pd
0.5000 0.0772 0.7947 Pd
0.5000 0.7053 0.4228 Pd
0.5000 0.9228 0.2053 Pd
0.5000 0.2947 0.5772 Pd
0.5000 0.5772 0.7053 Pd
0.5000 0.4228 0.2947 Pd
0.5000 0.5000 0.0000 Pd
0.5000 0.0000 0.5000 Pd

=====

Entry 13:
ScRu2 | the Alexandria database | PBE-GGA | relaxed; formation enthalpy at 0 K = -0.113 eV per atom
1.0
-2.5307 3.5832 -0.5868
1.1890 -2.4634 -3.4794
-2.3543 -1.6080 0.3340
Ru Sc
2 1
direct
0.3333 0.6667 0.4999 Ru
0.6667 0.3333 0.5001 Ru
0.0000 0.0000 0.0000 Sc